Record 1
# Pm3ErHg2C GGA-PBE optimized geometry
data_Pm3ErHg2C
_cell_length_a 4.8737
_cell_length_b 5.1111
_cell_length_c 15.1880
_cell_angle_alpha 90.00
_cell_angle_beta 90.00
_cell_angle_gamma 90.00
_symmetry_space_group_name_H-M 'I m m m'
_symmetry_Int_Tables_number 71
_symmetry_space_group_name_Hall '-I 2 2'
loop_
_atom_site_label
_atom_site_type_symbol
_atom_site_fract_x
_atom_site_fract_y
_atom_site_fract_z
_atom_site_occupancy
Pm1 Pm 0.0000 0.0000 0.0000 1
Pm2 Pm 0.0000 0.5000 0.1674 1
Er1 Er 0.0000 0.0000 0.5000 1
Hg1 Hg 0.0000 0.5000 0.3705 1
C1 C 0.0000 0.5000 0.0000 1
# Crystal system ... orthorhombic
# Formation energy from the elements ... -2.32 eV/f.u.
# Electronic total energy ... -4.423 eV per atom
# D(E_F) ... 6.7 states/eV/f.u.
# Total moment ... 0.0 μB per formula unit

Record 2
# Fe4CoGe2 GGA-PBE optimized geometry
data_Fe4CoGe2
_cell_length_a 4.0212
_cell_length_b 4.0212
_cell_length_c 17.9527
_cell_angle_alpha 90.00
_cell_angle_beta 90.00
_cell_angle_gamma 120.00
_symmetry_space_group_name_H-M 'R -3 m'
_symmetry_Int_Tables_number 166
_symmetry_space_group_name_Hall '-R 3 2"'
loop_
_atom_site_label
_atom_site_type_symbol
_atom_site_fract_x
_atom_site_fract_y
_atom_site_fract_z
_atom_site_occupancy
Fe1 Fe 0.0000 0.0000 0.0701 1
Fe2 Fe 0.0000 0.0000 0.3597 1
Co1 Co 0.0000 0.0000 0.5000 1
Ge1 Ge 0.0000 0.0000 0.2217 1
# Crystal system ... trigonal
# Formation energy from the elements ... -0.61 eV/f.u.
# Electronic total energy ... -7.257 eV per atom
# D(E_F) ... 4.9 states/eV/f.u.
# Total moment ... 9.0 μB per formula unit

| no. | volume (Å³/cell) |
| --- | --- |
| 1 | 378 |
| 2 | 251 |